This record from Alexandria describes LaAsPb2Se after structural relaxation. The functional is PBE.

Properties
Calculated volume   219.2 Å³/cell
Crystal system   tetragonal
E   -17.95 eV for the cell shown
DOS at the Fermi energy   0.9483 states/eV/atom
Uncorrected formation energy   506 meV per atom

```
data_LaAsPb2Se
_chemical_formula_sum 'La1 As1 Pb2 Se1'
_symmetry_space_group_name_H-M 'P 4/m m m'
_symmetry_Int_Tables_number 123
_symmetry_space_group_name_Hall '-P 4 2'
_cell_length_a 6.335
_cell_length_b 6.335
_cell_length_c 5.461
_cell_angle_alpha 90.00
_cell_angle_beta 90.00
_cell_angle_gamma 90.00
loop_
_atom_site_label
_atom_site_type_symbol
_atom_site_fract_x
_atom_site_fract_y
_atom_site_fract_z
La1 La 0.000 0.000 0.000
As1 As 0.500 0.500 0.500
Pb1 Pb 0.000 0.500 0.000
Se1 Se 0.000 0.000 0.500
```